Record 1
A plane-wave DFT calculation with PBE was carried out for a geometry-optimized Ac2SmErSe6 structure.

Computed properties:
ΔE_f (raw)   -1.917 eV/atom

Lattice parameters (Å, degrees): 7.5976 7.5976 19.5991 90.00 90.00 120.00
Last column: nearest neighbours and their distance in Å.
Space group R3 (No. 146, hexagonal axes)
Unique sites:
Ac: 0.0000 0.0000 0.0000 x3  6 Se 3.09-3.18
Ac: 0.0000 0.0000 0.4990 x3  6 Se 3.10-3.17
Sm: 0.0000 0.0000 0.2098 x3  6 Se 2.88-2.96
Er: 0.0000 0.0000 0.7083 x3  6 Se 2.82-2.88
Se: 0.0586 0.3477 0.7797 x9  1 Er 2.82, 1 Sm 2.96, 1 Ac 3.10
Se: 0.0624 0.7043 0.2814 x9  1 Er 2.88, 1 Sm 2.88, 2 Ac 3.09-3.17

=====

Record 2
A plane-wave DFT calculation with PBE was carried out for a geometry-optimized SrNdNi structure.

Computed properties:
Calculated formation energy   0.0 eV/f.u.
Excess energy over the best structure of this formula in the dataset   0.56 eV per formula unit

Lattice parameters (Å, degrees): 13.5101 5.1157 5.1055 90.00 90.00 90.00
Last column: nearest neighbours and their distance in Å.
Space group Amm2 (No. 38)
Unique sites:
Sr: 0.1327 0.0000 0.0000 x4  4 Ni 3.12
Nd: 0.3810 0.0000 0.4978 x4  4 Ni 3.02, 1 Nd 3.21
Ni: 0.0000 0.0000 0.5005 x2  8 Sr 3.12
Ni: 0.5000 0.0000 0.9976 x2  8 Nd 3.02

=====

Record 3
A plane-wave DFT calculation with PBE was carried out for a geometry-optimized TbPm2Sm4Er structure.

Computed properties:
Calculated formation energy   3.2 eV/f.u.

Lattice parameters (Å, degrees): 13.7603 13.2457 6.8719 90.00 119.93 90.00
Last column: nearest neighbours and their distance in Å.
Space group C2/c (No. 15)
Unique sites:
Tb: 0.0000 0.0000 0.0000 x4  6 Sm 3.28-3.60, 2 Tb 3.44
Pm: 0.0000 0.5000 0.0000 x4  6 Sm 3.31-3.63, 2 Pm 3.44
Pm: 0.2500 0.2500 0.0000 x4  6 Sm 3.32-3.56, 2 Er 3.44
Sm: 0.0117 0.2478 0.5115 x8  1 Tb 3.29, 2 Er 3.32-3.56, 3 Pm 3.32-3.56, 2 Sm 3.44-3.45
Sm: 0.2485 0.0030 0.4514 x8  2 Tb 3.28-3.60, 1 Er 3.29, 3 Pm 3.31-3.63, 2 Sm 3.44
Er: 0.2500 0.2500 0.5000 x4  6 Sm 3.29-3.56, 2 Pm 3.44

=====

Record 4
A plane-wave DFT calculation with PBE was carried out for a geometry-optimized InAsPtBr2 structure.

Computed properties:
Excess energy over the best structure of this formula in the dataset   4.13 eV per formula unit
ΔE_f (raw)   0.820 eV/atom

Lattice parameters (Å, degrees): 5.2408 5.2408 5.5652 90.00 90.00 90.00
Last column: nearest neighbours and their distance in Å.
Space group P4/mmm (No. 123)
Unique sites:
In: 0.0000 0.0000 0.0000 x1  4 Br 2.62, 2 As 2.78
As: 0.0000 0.0000 0.5000 x1  2 In 2.78
Pt: 0.5000 0.5000 0.5000 x1  4 As 3.71, 8 Br 3.82
Br: 0.0000 0.5000 0.0000 x2  2 In 2.62

=====

Record 5
A plane-wave DFT calculation with PBE was carried out for a geometry-optimized Sb2IrAu structure.

Computed properties:
Excess energy over the best structure of this formula in the dataset   0.00 eV per formula unit
ΔE_f (raw)   -0.007 eV/atom

Lattice parameters (Å, degrees): 6.6111 3.8254 7.3704 90.00 107.35 90.00
Last column: nearest neighbours and their distance in Å.
Space group C2/m (No. 12)
Unique sites:
Sb: 0.2398 0.0000 0.2207 x4  3 Ir 2.70, 3 Au 2.95-2.96
Ir: 0.0000 0.5000 0.0000 x2  6 Sb 2.70
Au: 0.0000 0.0000 0.5000 x2  6 Sb 2.95-2.96

=====

Record 6
A plane-wave DFT calculation with PBE was carried out for a geometry-optimized TiZn2Pt structure.

Computed properties:
Calculated formation energy   -2.1 eV/f.u.

Lattice parameters (Å, degrees): 5.5745 4.3312 5.7180 90.00 118.55 90.00
Last column: nearest neighbours and their distance in Å.
Space group P2_1/m (No. 11)
Unique sites:
Ti: 0.1879 0.2500 0.3890 x2  4 Pt 2.61-2.84, 6 Zn 2.76-2.84
Zn: 0.1746 0.2500 0.8662 x2  4 Zn 2.58-2.88, 3 Pt 2.72-2.76, 3 Ti 2.76-2.84
Zn: 0.3148 0.7500 0.1467 x2  4 Zn 2.58-2.88, 3 Pt 2.75, 3 Ti 2.77-2.84
Pt: 0.3383 0.7500 0.6773 x2  4 Ti 2.61-2.84, 6 Zn 2.72-2.76

=====

Record 7
A plane-wave DFT calculation with PBE was carried out for a geometry-optimized La2MnZn structure.

Computed properties:
Calculated formation energy   0.0 eV/f.u.

Lattice parameters (Å, degrees): 5.3269 5.3269 3.6639 90.00 90.00 90.00
Last column: nearest neighbours and their distance in Å.
Space group P4/mmm (No. 123)
Unique sites:
La: 0.0000 0.5000 0.0000 x2  4 Zn 3.23, 4 Mn 3.23
Mn: 0.0000 0.0000 0.5000 x1  8 La 3.23
Zn: 0.5000 0.5000 0.5000 x1  8 La 3.23

=====

Record 8
A plane-wave DFT calculation with PBE was carried out for a geometry-optimized Sm2Al3Pt4 structure.

Computed properties:
Calculated formation energy   -10.3 eV/f.u.

Lattice parameters (Å, degrees): 5.6547 15.5130 7.6025 90.00 90.00 90.00
Last column: nearest neighbours and their distance in Å.
Space group Cmce (No. 64)
Unique sites:
Sm: 0.0000 0.1066 0.0923 x8  8 Pt 3.04-3.38, 4 Al 3.17-3.35
Al: 0.0000 0.0000 0.5000 x4  6 Pt 2.55-2.85
Al: 0.2500 0.2278 0.7500 x8  5 Pt 2.58-2.62, 2 Al 2.83
Pt: 0.0000 0.1834 0.4739 x8  5 Al 2.61-2.85
Pt: 0.2500 0.0612 0.7500 x8  3 Al 2.55-2.58, 2 Pt 2.83

=====

Record 9
A plane-wave DFT calculation with PBE was carried out for a geometry-optimized LiRuRh2 structure.

Computed properties:
Calculated formation energy   -0.1 eV/f.u.
Excess energy over the best structure of this formula in the dataset   0.00 eV per formula unit

Lattice parameters (Å, degrees): 2.7609 2.7609 7.0281 90.00 90.00 90.00
Last column: nearest neighbours and their distance in Å.
Space group P4/mmm (No. 123)
Unique sites:
Li: 0.0000 0.0000 0.0000 x1  8 Rh 2.59, 4 Li 2.76
Ru: 0.0000 0.0000 0.5000 x1  8 Rh 2.66, 4 Ru 2.76
Rh: 0.5000 0.5000 0.2424 x2  4 Li 2.59, 4 Ru 2.66, 4 Rh 2.76

=====

Record 10
A plane-wave DFT calculation with PBE was carried out for a geometry-optimized Sr2MgSbPd6 structure.

Computed properties:
ΔE_f (raw)   -0.531 eV/atom

Lattice parameters (Å, degrees): 5.7036 6.8936 6.9717 81.13 65.87 65.68
Last column: nearest neighbours and their distance in Å.
Space group P-1 (No. 2)
Unique sites:
Sr: 0.0313 0.2218 0.2151 x2  11 Pd 3.27-3.65, 2 Mg 3.62-3.63
Mg: 0.5000 0.5000 0.0000 x1  6 Pd 2.65-2.66
Sb: 0.5000 0.0000 0.5000 x1  6 Pd 2.61-2.67
Pd: 0.0020 0.7524 0.2608 x2  1 Sb 2.62, 1 Mg 2.66, 3 Pd 2.72-2.80
Pd: 0.3413 0.4130 0.4065 x2  1 Mg 2.65, 1 Sb 2.67, 4 Pd 2.72-2.80
Pd: 0.4860 0.7529 0.2594 x2  1 Sb 2.61, 1 Mg 2.66, 3 Pd 2.72-2.80

=====

Record 11
A plane-wave DFT calculation with PBE was carried out for a geometry-optimized Ti3Bi2P6O24 structure.

Computed properties:
ΔE_f (raw)   -2.281 eV/atom

Lattice parameters (Å, degrees): 8.5385 8.5385 22.7615 90.00 90.00 120.00
Last column: nearest neighbours and their distance in Å.
Space group R3 (No. 146, hexagonal axes)
Unique sites:
Ti: 0.0000 0.0000 0.0000 x3  6 O 1.90-1.95
Ti: 0.0000 0.0000 0.1998 x3  6 O 1.97-1.98
Ti: 0.0000 0.0000 0.6803 x3  3 O 1.85
Bi: 0.0000 0.0000 0.3670 x3  3 O 2.16
Bi: 0.0000 0.0000 0.8375 x3  6 O 2.35-2.54
P: 0.0192 0.3343 0.5917 x9  4 O 1.52-1.60
P: 0.0604 0.6855 0.7621 x9  4 O 1.52-1.57
O: 0.0133 0.1917 0.6384 x9  1 P 1.60
O: 0.0530 0.2030 0.2528 x9  1 P 1.56
O: 0.0754 0.2173 0.9533 x9  1 P 1.55
O: 0.1156 0.3427 0.5348 x9  1 P 1.52
O: 0.1567 0.7037 0.8212 x9  1 P 1.54
O: 0.1670 0.6800 0.4240 x9  1 P 1.57
O: 0.1776 0.7475 0.0873 x9  1 P 1.55
O: 0.2006 0.7442 0.7131 x9  1 P 1.52

=====

Record 12
A plane-wave DFT calculation with PBE was carried out for a geometry-optimized LiHf3H8 structure.

Computed properties:
Electronic total energy   -64.45 eV/f.u.

Lattice parameters (Å, degrees): 4.6587 4.6587 4.6587 90.00 90.00 90.00
Last column: nearest neighbours and their distance in Å.
Space group Pm-3m (No. 221)
Unique sites:
Li: 0.0000 0.0000 0.0000 x1  8 H 2.00
Hf: 0.0000 0.5000 0.5000 x3  8 H 2.02
H: 0.2478 0.2478 0.2478 x8  1 Li 2.00, 3 Hf 2.02